1.
A relaxed structure of Dy2Y2Sb3, computed with PBE-GGA.

Output
As for the total magnetization: 0.00 μB/f.u. The offset from the most stable computed form comes out at 0 meV/atom. The space group is I2_13 (199).

a = 7.9697 Å, b = 7.9697 Å, c = 7.9697 Å
α = 109.47°, β = 109.47°, γ = 109.47°
With the nearest neighbours (Å) after each atom.
Positions (direct):
1 Dy 0.0000 0.8556 0.5000  6 Sb 3.08-3.30
2 Dy 0.5000 0.0000 0.8556  6 Sb 3.08-3.30
3 Dy 0.6444 0.6444 0.6444  6 Sb 3.08-3.30
4 Dy 0.8556 0.5000 0.0000  6 Sb 3.08-3.30
5 Y 0.0000 0.3554 0.5000  6 Sb 3.08-3.30
6 Y 0.1446 0.1446 0.1446  6 Sb 3.08-3.30
7 Y 0.3554 0.5000 0.0000  6 Sb 3.08-3.30
8 Y 0.5000 0.0000 0.3554  6 Sb 3.08-3.30
9 Sb 0.1249 0.7500 0.8749  4 Dy 3.08-3.30, 4 Y 3.08-3.30
10 Sb 0.2500 0.6251 0.3751  4 Dy 3.08-3.30, 4 Y 3.08-3.30
11 Sb 0.3751 0.2500 0.6251  4 Dy 3.08-3.30, 4 Y 3.08-3.30
12 Sb 0.6251 0.3751 0.2500  4 Dy 3.08-3.30, 4 Y 3.08-3.30
13 Sb 0.7500 0.8749 0.1249  4 Dy 3.08-3.30, 4 Y 3.08-3.30
14 Sb 0.8749 0.1249 0.7500  4 Dy 3.08-3.30, 4 Y 3.08-3.30


2.
A relaxed structure of Ca2POs, computed with PBE-GGA.

Output
As for the total magnetization: 0.00 μB/f.u. As for the formation energy: -0.203 eV per atom. The space group is P4mm (99).

a = 3.1770 Å, b = 3.1770 Å, c = 8.6100 Å
α = 90.00°, β = 90.00°, γ = 90.00°
With the nearest neighbours (Å) after each atom.
Positions (direct):
1 Ca 0.0000 0.0000 0.0000  4 P 3.03, 1 Os 3.05, 4 Ca 3.18
2 Ca 0.5000 0.5000 0.3880  4 Os 3.16, 4 Ca 3.18, 1 P 3.23
3 P 0.5000 0.5000 0.7633  4 Os 2.47
4 Os 0.0000 0.0000 0.6454  4 P 2.47


3.
A relaxed structure of Sr2PbSe2, computed with PBE-GGA.

Output
As for the total magnetization: 0.00 μB/f.u. For the calculated total energy, the calculation gives -4.130 eV/atom. The space group is P4/mbm (127).

a = 8.5938 Å, b = 8.5938 Å, c = 4.0560 Å
α = 90.00°, β = 90.00°, γ = 90.00°
With the nearest neighbours (Å) after each atom.
Positions (direct):
1 Sr 0.1558 0.3442 0.0000  6 Se 3.10-3.33
2 Sr 0.3442 0.8442 0.0000  6 Se 3.10-3.33
3 Sr 0.6558 0.1558 0.0000  6 Se 3.10-3.33
4 Sr 0.8442 0.6558 0.0000  6 Se 3.10-3.33
5 Pb 0.0000 0.0000 0.5000  4 Se 3.27
6 Pb 0.5000 0.5000 0.5000  4 Se 3.27
7 Se 0.1512 0.6512 0.5000  6 Sr 3.10-3.33, 2 Pb 3.27
8 Se 0.3488 0.1512 0.5000  6 Sr 3.10-3.33, 2 Pb 3.27
9 Se 0.6512 0.8488 0.5000  6 Sr 3.10-3.33, 2 Pb 3.27
10 Se 0.8488 0.3488 0.5000  6 Sr 3.10-3.33, 2 Pb 3.27


4.
A relaxed structure of Y2VCd, computed with PBE-GGA.

Output
As for the total magnetization: 3.48 μB/f.u. The offset from the most stable computed form comes out at 551 meV/atom. As for the formation energy: 0.559 eV per atom. The space group is R-3m (166).

a = 11.1796 Å, b = 11.1796 Å, c = 11.1796 Å
α = 17.09°, β = 17.09°, γ = 17.09°
With the nearest neighbours (Å) after each atom.
Positions (direct):
1 Y 0.0862 0.0862 0.0862  1 V 2.85
2 Y 0.9138 0.9138 0.9138  1 V 2.85
3 V 0.0000 0.0000 0.0000  2 Y 2.85
4 Cd 0.5000 0.5000 0.5000  6 Y 3.28, 6 Cd 3.32


5.
A relaxed structure of DyAlZnAg6, computed with PBE-GGA.

Output
As for the total magnetization: 0.00 μB/f.u. As for the formation energy: 0.174 eV per atom. The space group is Imma (74).

a = 8.9028 Å, b = 8.9028 Å, c = 8.9028 Å
α = 140.62°, β = 117.26°, γ = 76.65°
With the nearest neighbours (Å) after each atom.
Positions (direct):
1 Dy 0.4424 0.1924 0.2500  5 Ag 2.94-3.04
2 Dy 0.5576 0.8076 0.7500  5 Ag 2.94-3.04
3 Al 0.0000 0.0000 0.5000  4 Ag 2.62
4 Al 0.0000 0.5000 0.0000  4 Ag 2.62
5 Zn 0.0000 0.5000 0.5000  6 Ag 2.55-2.64
6 Zn 0.5000 0.5000 0.0000  6 Ag 2.55-2.64
7 Ag 0.1344 0.3990 0.2379  1 Zn 2.55, 1 Al 2.62
8 Ag 0.1344 0.8965 0.7353  1 Zn 2.55, 1 Al 2.62
9 Ag 0.1843 0.9343 0.2500  4 Ag 2.90, 2 Al 2.98
10 Ag 0.3389 0.1035 0.7379  1 Zn 2.55, 1 Al 2.62
11 Ag 0.3389 0.6010 0.2353  1 Zn 2.55, 1 Al 2.62
12 Ag 0.3401 0.5901 0.7500  2 Zn 2.64
13 Ag 0.6599 0.4099 0.2500  2 Zn 2.64
14 Ag 0.6611 0.3990 0.7647  1 Zn 2.55, 1 Al 2.62
15 Ag 0.6611 0.8965 0.2621  1 Zn 2.55, 1 Al 2.62
16 Ag 0.8157 0.0657 0.7500  4 Ag 2.90, 2 Al 2.98
17 Ag 0.8656 0.1035 0.2647  1 Zn 2.55, 1 Al 2.62
18 Ag 0.8656 0.6010 0.7621  1 Zn 2.55, 1 Al 2.62


6.
A relaxed structure of Al3FeTc, computed with PBE-GGA.

Output
As for the total magnetization: 2.41 μB/f.u. The offset from the most stable computed form comes out at 0 meV/atom. As for the formation energy: 0.521 eV per atom. The space group is Pm-3m (221).

a = 4.3521 Å, b = 4.3521 Å, c = 4.3521 Å
α = 90.00°, β = 90.00°, γ = 90.00°
With the nearest neighbours (Å) after each atom.
Positions (direct):
1 Al 0.0000 0.0000 0.5000  2 Fe 2.18
2 Al 0.0000 0.5000 0.0000  2 Fe 2.18
3 Al 0.5000 0.0000 0.0000  2 Fe 2.18
4 Fe 0.0000 0.0000 0.0000  6 Al 2.18
5 Tc 0.5000 0.5000 0.5000  12 Al 3.08


7.
A relaxed structure of GdErInNi, computed with PBE-GGA.

Output
As for the total magnetization: 7.16 μB/f.u. As for the formation energy: -0.310 eV per atom. The space group is F-43m (216).

a = 5.0986 Å, b = 5.0986 Å, c = 5.0986 Å
α = 60.00°, β = 60.00°, γ = 60.00°
With the nearest neighbours (Å) after each atom.
Positions (direct):
1 Gd 0.0000 0.0000 0.0000  4 In 3.12, 4 Ni 3.12
2 Er 0.5000 0.5000 0.5000  4 In 3.12, 4 Ni 3.12
3 In 0.7500 0.7500 0.7500  4 Er 3.12, 4 Gd 3.12
4 Ni 0.2500 0.2500 0.2500  4 Er 3.12, 4 Gd 3.12


8.
A relaxed structure of SrH8Pd6, computed with PBE-GGA.

Output
As for the total magnetization: 0.00 μB/f.u. For the calculated total energy, the calculation gives -4.162 eV/atom. The space group is R-3 (148).

a = 5.4078 Å, b = 5.4078 Å, c = 5.4078 Å
α = 98.58°, β = 98.58°, γ = 98.58°
With the nearest neighbours (Å) after each atom.
Positions (direct):
1 Sr 0.0000 0.0000 0.0000  8 H 2.57-2.66
2 H 0.1827 0.7744 0.3744  3 Pd 1.80-1.87
3 H 0.2256 0.6256 0.8173  3 Pd 1.80-1.87
4 H 0.3281 0.3281 0.3281  3 Pd 1.85
5 H 0.3744 0.1827 0.7744  3 Pd 1.80-1.87
6 H 0.6256 0.8173 0.2256  3 Pd 1.80-1.87
7 H 0.6719 0.6719 0.6719  3 Pd 1.85
8 H 0.7744 0.3744 0.1827  3 Pd 1.80-1.87
9 H 0.8173 0.2256 0.6256  3 Pd 1.80-1.87
10 Pd 0.1418 0.3194 0.5872  4 H 1.80-1.87
11 Pd 0.3194 0.5872 0.1418  4 H 1.80-1.87
12 Pd 0.4128 0.8582 0.6806  4 H 1.80-1.87
13 Pd 0.5872 0.1418 0.3194  4 H 1.80-1.87
14 Pd 0.6806 0.4128 0.8582  4 H 1.80-1.87
15 Pd 0.8582 0.6806 0.4128  4 H 1.80-1.87


9.
A relaxed structure of RbHgBi2, computed with PBE-GGA.

Output
As for the total magnetization: 0.00 μB/f.u. As for the formation energy: -0.211 eV per atom. The space group is Pnma (62).

a = 9.1645 Å, b = 5.7951 Å, c = 10.8613 Å
α = 90.00°, β = 90.00°, γ = 90.00°
With the nearest neighbours (Å) after each atom.
Positions (direct):
1 Rb 0.1589 0.2500 0.2066  4 Hg 3.59-3.68, 5 Bi 3.80-3.99
2 Rb 0.3411 0.7500 0.7066  4 Hg 3.59-3.68, 5 Bi 3.80-3.99
3 Rb 0.6589 0.2500 0.2934  4 Hg 3.59-3.68, 5 Bi 3.80-3.99
4 Rb 0.8411 0.7500 0.7934  4 Hg 3.59-3.68, 5 Bi 3.80-3.99
5 Hg 0.1553 0.7500 0.9974  4 Bi 3.11-3.31
6 Hg 0.3447 0.2500 0.4974  4 Bi 3.11-3.31
7 Hg 0.6553 0.7500 0.5026  4 Bi 3.11-3.31
8 Hg 0.8447 0.2500 0.0026  4 Bi 3.11-3.31
9 Bi 0.0193 0.2500 0.5794  1 Hg 3.11, 3 Bi 3.12-3.39
10 Bi 0.1333 0.2500 0.8504  3 Hg 3.12-3.31, 1 Bi 3.12
11 Bi 0.3667 0.7500 0.3504  3 Hg 3.12-3.31, 1 Bi 3.12
12 Bi 0.4807 0.7500 0.0794  1 Hg 3.11, 3 Bi 3.12-3.39
13 Bi 0.5193 0.2500 0.9206  1 Hg 3.11, 3 Bi 3.12-3.39
14 Bi 0.6333 0.2500 0.6496  3 Hg 3.12-3.31, 1 Bi 3.12
15 Bi 0.8667 0.7500 0.1496  3 Hg 3.12-3.31, 1 Bi 3.12
16 Bi 0.9807 0.7500 0.4206  1 Hg 3.11, 3 Bi 3.12-3.39


10.
A relaxed structure of YVSi3, computed with PBE-GGA.

Output
As for the total magnetization: 0.00 μB/f.u. For the calculated total energy, the calculation gives -6.456 eV/atom. The space group is Pm-3m (221).

a = 4.5494 Å, b = 4.5494 Å, c = 4.5494 Å
α = 90.00°, β = 90.00°, γ = 90.00°
With the nearest neighbours (Å) after each atom.
Positions (direct):
1 Y 0.0000 0.0000 0.0000  12 Si 3.22
2 V 0.5000 0.5000 0.5000  6 Si 2.27
3 Si 0.0000 0.5000 0.5000  2 V 2.27
4 Si 0.5000 0.0000 0.5000  2 V 2.27
5 Si 0.5000 0.5000 0.0000  2 V 2.27


11.
A relaxed structure of AcPuCuAg, computed with PBE-GGA.

Output
As for the total magnetization: 5.89 μB/f.u. As for the formation energy: 0.052 eV per atom. The space group is F-43m (216).

a = 5.3156 Å, b = 5.3156 Å, c = 5.3156 Å
α = 60.00°, β = 60.00°, γ = 60.00°
With the nearest neighbours (Å) after each atom.
Positions (direct):
1 Ac 0.0000 0.0000 0.0000  4 Cu 3.26, 4 Ag 3.26
2 Pu 0.5000 0.5000 0.5000  4 Cu 3.26, 4 Ag 3.26
3 Cu 0.2500 0.2500 0.2500  4 Ac 3.26, 4 Pu 3.26
4 Ag 0.7500 0.7500 0.7500  4 Ac 3.26, 4 Pu 3.26


12.
A relaxed structure of RbAuSe3, computed with PBE-GGA.

Output
As for the total magnetization: 0.00 μB/f.u. For the calculated total energy, the calculation gives -3.389 eV/atom. The space group is P2_1/c (14).

a = 6.8154 Å, b = 8.7803 Å, c = 11.2233 Å
α = 90.00°, β = 92.73°, γ = 90.00°
With the nearest neighbours (Å) after each atom.
Positions (direct):
1 Rb 0.1301 0.1556 0.3283  6 Se 3.47-3.70, 1 Au 3.60
2 Rb 0.1301 0.3444 0.8283  6 Se 3.47-3.70, 1 Au 3.60
3 Rb 0.8699 0.6556 0.1717  6 Se 3.47-3.70, 1 Au 3.60
4 Rb 0.8699 0.8444 0.6717  6 Se 3.47-3.70, 1 Au 3.60
5 Au 0.3915 0.5495 0.6080  2 Se 2.44-2.45
6 Au 0.3915 0.9505 0.1080  2 Se 2.44-2.45
7 Au 0.6085 0.0495 0.8920  2 Se 2.44-2.45
8 Au 0.6085 0.4505 0.3920  2 Se 2.44-2.45
9 Se 0.1101 0.6019 0.4719  1 Se 2.44, 1 Au 2.44
10 Se 0.1101 0.8981 0.9719  1 Se 2.44, 1 Au 2.44
11 Se 0.3480 0.0087 0.7379  1 Se 2.44, 1 Au 2.45
12 Se 0.3480 0.4913 0.2379  1 Se 2.44, 1 Au 2.45
13 Se 0.4942 0.1155 0.5618  2 Se 2.44-2.46
14 Se 0.4942 0.3845 0.0618  2 Se 2.44-2.46
15 Se 0.5058 0.6155 0.9382  2 Se 2.44-2.46
16 Se 0.5058 0.8845 0.4382  2 Se 2.44-2.46
17 Se 0.6520 0.5087 0.7621  1 Se 2.44, 1 Au 2.45
18 Se 0.6520 0.9913 0.2621  1 Se 2.44, 1 Au 2.45
19 Se 0.8899 0.1019 0.0281  1 Se 2.44, 1 Au 2.44
20 Se 0.8899 0.3981 0.5281  1 Se 2.44, 1 Au 2.44


13.
A relaxed structure of NaCdAu, computed with PBE-GGA.

Output
As for the total magnetization: 0.00 μB/f.u. The offset from the most stable computed form comes out at 0 meV/atom. As for the formation energy: -0.246 eV per atom. The space group is Immm (71).

a = 5.8715 Å, b = 5.8715 Å, c = 5.8715 Å
α = 130.47°, β = 118.42°, γ = 82.82°
With the nearest neighbours (Å) after each atom.
Positions (direct):
1 Na 0.2462 0.0000 0.2462  2 Na 2.96-3.05, 4 Au 3.21, 6 Cd 3.26
2 Na 0.7538 0.0000 0.7538  2 Na 2.96-3.05, 4 Au 3.21, 6 Cd 3.26
3 Cd 0.3297 0.3297 0.0000  4 Au 2.86-3.01, 1 Cd 3.00
4 Cd 0.6703 0.6703 0.0000  4 Au 2.86-3.01, 1 Cd 3.00
5 Au 0.1638 0.6638 0.5000  4 Cd 2.86-3.01, 1 Au 2.88
6 Au 0.8362 0.3362 0.5000  4 Cd 2.86-3.01, 1 Au 2.88


14.
A relaxed structure of LiTiO2, computed with PBE-GGA.

Output
As for the total magnetization: 0.50 μB/f.u. For the calculated total energy, the calculation gives -7.470 eV/atom. The space group is R3m (160).

a = 5.4850 Å, b = 5.4850 Å, c = 5.4850 Å
α = 30.79°, β = 30.79°, γ = 30.79°
With the nearest neighbours (Å) after each atom.
Positions (direct):
1 Li 0.0000 0.0000 0.0000  6 O 2.12-2.28
2 Ti 0.8266 0.8266 0.8266  6 O 2.06-2.07
3 O 0.2354 0.2354 0.2354  3 Ti 2.06, 3 Li 2.28
4 O 0.4162 0.4162 0.4162  3 Ti 2.07, 3 Li 2.12


15.
A relaxed structure of Er2Co2Ag, computed with PBE-GGA.

Output
As for the total magnetization: 0.41 μB/f.u. As for the formation energy: -0.260 eV per atom. The space group is Cmmm (65).

a = 6.9965 Å, b = 6.9965 Å, c = 3.7889 Å
α = 90.00°, β = 90.00°, γ = 148.79°
With the nearest neighbours (Å) after each atom.
Positions (direct):
1 Er 0.1367 0.8633 0.0000  6 Co 2.82-2.86
2 Er 0.8633 0.1367 0.0000  6 Co 2.82-2.86
3 Co 0.2954 0.7046 0.5000  2 Co 2.24
4 Co 0.7046 0.2954 0.5000  2 Co 2.24
5 Ag 0.5000 0.5000 0.5000  2 Co 2.76


16.
A relaxed structure of ScPb2N, computed with PBE-GGA.

Output
As for the total magnetization: 0.00 μB/f.u. For the calculated total energy, the calculation gives -5.068 eV/atom. The space group is I-42d (122).

a = 6.1307 Å, b = 6.1307 Å, c = 6.1307 Å
α = 106.21°, β = 106.21°, γ = 116.22°
With the nearest neighbours (Å) after each atom.
Positions (direct):
1 Sc 0.0000 0.0000 0.0000  8 Pb 3.09-3.33, 2 N 3.24
2 Sc 0.7500 0.2500 0.5000  8 Pb 3.09-3.33, 2 N 3.24
3 Pb 0.1939 0.6250 0.0689  2 N 2.41
4 Pb 0.3750 0.4439 0.5689  2 N 2.41
5 Pb 0.5561 0.1250 0.9311  2 N 2.41
6 Pb 0.8750 0.8061 0.4311  2 N 2.41
7 N 0.2500 0.7500 0.5000  4 Pb 2.41
8 N 0.5000 0.5000 0.0000  4 Pb 2.41


17.
A relaxed structure of CsNaHg, computed with PBE-GGA.

Output
As for the total magnetization: 0.00 μB/f.u. The offset from the most stable computed form comes out at 27 meV/atom. As for the formation energy: -0.140 eV per atom. The space group is P-1 (2).

a = 4.3198 Å, b = 8.1127 Å, c = 9.3171 Å
α = 115.12°, β = 103.22°, γ = 90.07°
With the nearest neighbours (Å) after each atom.
Positions (direct):
1 Cs 0.1405 0.1373 0.2819  4 Hg 4.00-4.01, 2 Na 4.07-4.09, 2 Cs 4.32
2 Cs 0.8595 0.8627 0.7181  4 Hg 4.00-4.01, 2 Na 4.07-4.09, 2 Cs 4.32
3 Na 0.1139 0.6119 0.2321  4 Hg 3.28-3.29
4 Na 0.8861 0.3881 0.7679  4 Hg 3.28-3.29
5 Hg 0.4995 0.3037 0.9992  1 Hg 3.18, 4 Na 3.28-3.29
6 Hg 0.5005 0.6963 0.0008  1 Hg 3.18, 4 Na 3.28-3.29


18.
A relaxed structure of BaSiAg2Te4, computed with PBE-GGA.

Output
As for the total magnetization: 0.00 μB/f.u. For the calculated total energy, the calculation gives -3.442 eV/atom. The space group is C2/c (15).

a = 8.5789 Å, b = 8.5789 Å, c = 8.7638 Å
α = 115.50°, β = 115.50°, γ = 82.43°
With the nearest neighbours (Å) after each atom.
Positions (direct):
1 Ba 0.0000 0.5000 0.0000  8 Te 3.53-3.78
2 Ba 0.5000 0.0000 0.5000  8 Te 3.53-3.78
3 Si 0.0000 0.0000 0.0000  4 Te 2.61-2.83
4 Si 0.0000 0.0000 0.5000  4 Te 2.61-2.83
5 Ag 0.0000 0.5000 0.5000  4 Te 2.82-2.85
6 Ag 0.5000 0.0000 0.0000  4 Te 2.82-2.85
7 Ag 0.5000 0.5000 0.0000  2 Te 2.76
8 Ag 0.5000 0.5000 0.5000  2 Te 2.76
9 Te 0.1932 0.7372 0.4877  1 Si 2.61, 1 Ag 2.85
10 Te 0.2083 0.2816 0.3282  2 Ag 2.76-2.82, 1 Si 2.83
11 Te 0.2628 0.8068 0.0123  1 Si 2.61, 1 Ag 2.85
12 Te 0.2816 0.2083 0.8282  2 Ag 2.76-2.82, 1 Si 2.83
13 Te 0.7184 0.7917 0.1718  2 Ag 2.76-2.82, 1 Si 2.83
14 Te 0.7372 0.1932 0.9877  1 Si 2.61, 1 Ag 2.85
15 Te 0.7917 0.7184 0.6718  2 Ag 2.76-2.82, 1 Si 2.83
16 Te 0.8068 0.2628 0.5123  1 Si 2.61, 1 Ag 2.85


19.
A relaxed structure of KDyTlPb, computed with PBE-GGA.

Output
As for the total magnetization: 0.00 μB/f.u. As for the formation energy: -0.104 eV per atom. The space group is F-43m (216).

a = 5.6133 Å, b = 5.6133 Å, c = 5.6133 Å
α = 60.00°, β = 60.00°, γ = 60.00°
With the nearest neighbours (Å) after each atom.
Positions (direct):
1 K 0.0000 0.0000 0.0000  4 Tl 3.44, 4 Pb 3.44
2 Dy 0.5000 0.5000 0.5000  4 Tl 3.44, 4 Pb 3.44
3 Tl 0.7500 0.7500 0.7500  4 Dy 3.44, 4 K 3.44
4 Pb 0.2500 0.2500 0.2500  4 Dy 3.44, 4 K 3.44


20.
A relaxed structure of CaBiH, computed with PBE-GGA.

Output
As for the total magnetization: 0.21 μB/f.u. The offset from the most stable computed form comes out at 158 meV/atom. The space group is P-3m1 (164).

a = 3.9638 Å, b = 3.9638 Å, c = 10.3391 Å
α = 90.00°, β = 90.00°, γ = 120.00°
With the nearest neighbours (Å) after each atom.
Positions (direct):
1 Ca 0.3333 0.6667 0.3582  4 H 2.30-2.37
2 Ca 0.6667 0.3333 0.6418  4 H 2.30-2.37
3 Bi 0.3333 0.6667 0.8958  3 Bi 3.14, 1 H 3.26, 3 Ca 3.48
4 Bi 0.6667 0.3333 0.1042  3 Bi 3.14, 1 H 3.26, 3 Ca 3.48
5 H 0.3333 0.6667 0.5804  4 Ca 2.30-2.37
6 H 0.6667 0.3333 0.4196  4 Ca 2.30-2.37